A crystal of CaVBiO5 relaxed with PBEsol. Source: the Alexandria database, functional meta-GGA SCAN.

Structure (CIF):
```
data_CaVBiO5
_chemical_formula_sum 'Ca8 V8 Bi8 O40'
_space_group_name_H-M_alt 'P 1'
_space_group_IT_number 1
_cell_length_a 5.437
_cell_length_b 15.532
_cell_length_c 11.164
_cell_angle_alpha 90.00
_cell_angle_beta 90.00
_cell_angle_gamma 90.00
loop_
_space_group_symop_operation_xyz
'x,y,z'
loop_
_atom_site_label
_atom_site_fract_x
_atom_site_fract_y
_atom_site_fract_z
_atom_site_occupancy
Ca1 0.006 0.053 0.141 1
Ca2 0.006 0.447 0.641 1
Ca3 0.494 0.553 0.141 1
Ca4 0.494 0.947 0.641 1
Ca5 0.506 0.053 0.359 1
Ca6 0.506 0.447 0.859 1
Ca7 0.994 0.553 0.359 1
Ca8 0.994 0.947 0.859 1
V1 0.011 0.098 0.596 1
V2 0.011 0.402 0.096 1
V3 0.489 0.598 0.596 1
V4 0.489 0.902 0.096 1
V5 0.511 0.098 0.904 1
V6 0.511 0.402 0.404 1
V7 0.989 0.598 0.904 1
V8 0.989 0.902 0.404 1
Bi1 0.046 0.733 0.152 1
Bi2 0.046 0.767 0.652 1
Bi3 0.454 0.233 0.152 1
Bi4 0.454 0.267 0.652 1
Bi5 0.546 0.733 0.348 1
Bi6 0.546 0.767 0.848 1
Bi7 0.954 0.233 0.348 1
Bi8 0.954 0.267 0.848 1
O1 0.059 0.195 0.674 1
O2 0.059 0.305 0.174 1
O3 0.127 0.524 0.816 1
O4 0.127 0.976 0.316 1
O5 0.176 0.625 0.024 1
O6 0.176 0.875 0.524 1
O7 0.208 0.566 0.546 1
O8 0.208 0.934 0.046 1
O9 0.243 0.154 0.269 1
O10 0.243 0.346 0.769 1
O11 0.257 0.654 0.269 1
O12 0.257 0.846 0.769 1
O13 0.292 0.066 0.546 1
O14 0.292 0.434 0.046 1
O15 0.324 0.125 0.024 1
O16 0.324 0.375 0.524 1
O17 0.373 0.024 0.816 1
O18 0.373 0.476 0.316 1
O19 0.441 0.695 0.674 1
O20 0.441 0.805 0.174 1
O21 0.559 0.195 0.826 1
O22 0.559 0.305 0.326 1
O23 0.627 0.524 0.684 1
O24 0.627 0.976 0.184 1
O25 0.676 0.625 0.476 1
O26 0.676 0.875 0.976 1
O27 0.708 0.566 0.954 1
O28 0.708 0.934 0.454 1
O29 0.743 0.154 0.231 1
O30 0.743 0.346 0.731 1
O31 0.757 0.654 0.231 1
O32 0.757 0.846 0.731 1
O33 0.792 0.066 0.954 1
O34 0.792 0.434 0.454 1
O35 0.824 0.125 0.476 1
O36 0.824 0.375 0.976 1
O37 0.873 0.024 0.684 1
O38 0.873 0.476 0.184 1
O39 0.941 0.695 0.826 1
O40 0.941 0.805 0.326 1
```

E_form (uncorrected) in eV per atom: -2.48
Energy in eV per atom: -19.5910